(P)
PBE Gd2YCd, optimized geometry; magnetic moment = 3.927 μB per atom; crystal system = tetragonal; DOS at the Fermi energy = 5.5 states/eV/f.u.
1.0
4.865 0.000 0.000
0.000 4.865 0.000
0.000 0.000 4.934
Gd Y Cd
2 1 1
direct
0.000 0.500 0.000
0.500 0.000 0.000
0.000 0.000 0.500
0.500 0.500 0.500

***

(Q)
PBE Gd2YCd, optimized geometry; magnetic moment = 3.788 μB per atom; crystal system = cubic; DOS at the Fermi energy = 5.8 states/eV/f.u.
1.0
0.000 3.883 3.883
3.883 0.000 3.883
3.883 3.883 0.000
Gd Y Cd
2 1 1
direct
0.250 0.250 0.250
0.750 0.750 0.750
0.000 0.000 0.000
0.500 0.500 0.500

***

(R)
PBE Gd2YCd, optimized geometry; magnetic moment = 3.703 μB per atom; crystal system = trigonal; DOS at the Fermi energy = 5.2 states/eV/f.u.
1.0
1.747 1.009 12.194
-1.747 1.009 12.194
0.000 -2.017 12.194
Gd Y Cd
2 1 1
direct
0.089 0.089 0.089
0.911 0.911 0.911
0.500 0.500 0.500
0.000 0.000 0.000

***

Calculated relative energies: (P) 0; (Q) 89; (R) 279, given in meV/atom

***

(P)
PBE GdZn2Cd, optimized geometry; magnetic moment = 1.990 μB per atom; crystal system = tetragonal; DOS at the Fermi energy = 3.4 states/eV/f.u.
1.0
4.574 0.000 0.000
0.000 4.574 0.000
0.000 0.000 4.132
Gd Zn Cd
1 2 1
direct
0.000 0.000 0.000
0.000 0.500 0.500
0.500 0.000 0.500
0.500 0.500 0.000

***

(Q)
PBE GdZn2Cd, optimized geometry; magnetic moment = 1.763 μB per atom; crystal system = cubic; DOS at the Fermi energy = 2.4 states/eV/f.u.
1.0
0.000 3.429 3.429
3.429 0.000 3.429
3.429 3.429 0.000
Gd Zn Cd
1 2 1
direct
0.000 0.000 0.000
0.250 0.250 0.250
0.750 0.750 0.750
0.500 0.500 0.500

***

Calculated relative energies: (P) 111; (Q) 0, given in meV/atom

***

(P)
PBE Gd2ZnCd, optimized geometry; magnetic moment = 3.823 μB per atom; crystal system = trigonal; DOS at the Fermi energy = 2.7 states/eV/f.u.
1.0
1.833 1.058 9.383
-1.833 1.058 9.383
0.000 -2.116 9.383
Gd Zn Cd
2 1 1
direct
0.244 0.244 0.244
0.756 0.756 0.756
0.500 0.500 0.500
0.000 0.000 0.000

***

(Q)
PBE Gd2ZnCd, optimized geometry; magnetic moment = 3.701 μB per atom; crystal system = tetragonal; DOS at the Fermi energy = 4.0 states/eV/f.u.
1.0
3.650 0.000 0.000
0.000 3.650 0.000
0.000 0.000 7.563
Gd Zn Cd
2 1 1
direct
0.000 0.000 0.232
0.000 0.000 0.768
0.500 0.500 0.000
0.500 0.500 0.500

***

Calculated relative energies: (P) 198; (Q) 0, given in meV/atom

***

(P)
PBE GdZr2Cd, optimized geometry; magnetic moment = 1.861 μB per atom; crystal system = tetragonal; DOS at the Fermi energy = 5.4 states/eV/f.u.
1.0
4.576 0.000 0.000
0.000 4.576 0.000
0.000 0.000 4.599
Gd Zr Cd
1 2 1
direct
0.000 0.000 0.000
0.000 0.500 0.500
0.500 0.000 0.500
0.500 0.500 0.000

***

(Q)
PBE GdZr2Cd, optimized geometry; magnetic moment = 1.957 μB per atom; crystal system = trigonal; DOS at the Fermi energy = 4.7 states/eV/f.u.
1.0
1.566 0.904 11.690
-1.566 0.904 11.690
0.000 -1.808 11.690
Gd Zr Cd
1 2 1
direct
0.000 0.000 0.000
0.092 0.092 0.092
0.908 0.908 0.908
0.500 0.500 0.500

***

Calculated relative energies: (P) 0; (Q) 243, given in meV/atom

***

(P)
PBE CdGe3, optimized geometry; magnetic moment = 0.000 μB per atom; crystal system = hexagonal; DOS at the Fermi energy = 1.3 states/eV/f.u.
1.0
5.956 0.000 0.000
-2.978 5.158 0.000
0.000 0.000 5.418
Cd Ge
2 6
direct
0.333 0.667 0.250
0.667 0.333 0.750
0.159 0.319 0.750
0.159 0.841 0.750
0.319 0.159 0.250
0.681 0.841 0.750
0.841 0.159 0.250
0.841 0.681 0.250

***

(Q)
PBE CdGe3, optimized geometry; magnetic moment = 0.000 μB per atom; crystal system = tetragonal; DOS at the Fermi energy = 2.3 states/eV/f.u.
1.0
-2.113 2.113 4.588
2.113 -2.113 4.588
2.113 2.113 -4.588
Cd Ge
1 3
direct
0.000 0.000 0.000
0.250 0.750 0.500
0.500 0.500 0.000
0.750 0.250 0.500

***

Calculated relative energies: (P) 7; (Q) 0, given in meV/atom

***

(P)
PBE CdGeH, optimized geometry; magnetic moment = 0.000 μB per atom; crystal system = monoclinic; DOS at the Fermi energy = 0.9 states/eV/f.u.
1.0
3.156 -2.761 0.000
3.156 2.761 0.000
-1.357 0.000 2.912
Cd Ge H
1 1 1
direct
0.000 0.000 0.000
0.453 0.453 0.938
0.604 0.604 0.552

***

(Q)
PBE CdGeH, optimized geometry; magnetic moment = 0.000 μB per atom; crystal system = hexagonal; DOS at the Fermi energy = 0.5 states/eV/f.u.
1.0
2.925 0.000 0.000
-1.462 2.533 0.000
0.000 0.000 6.861
Cd Ge H
1 1 1
direct
0.000 0.000 0.000
0.000 0.000 0.447
0.000 0.000 0.687

***

Calculated relative energies: (P) 133; (Q) 0, given in meV/atom

***

(P)
PBE CdGeH, optimized geometry; magnetic moment = 0.000 μB per atom; crystal system = monoclinic; DOS at the Fermi energy = 0.2 states/eV/f.u.
1.0
4.205 -2.447 0.000
4.205 2.447 0.000
-1.088 0.000 2.833
Cd Ge H
1 1 1
direct
0.000 0.000 0.000
0.527 0.527 0.526
0.735 0.735 0.732

***

(Q)
PBE CdGeH, optimized geometry; magnetic moment = 0.000 μB per atom; crystal system = orthorhombic; DOS at the Fermi energy = 1.0 states/eV/f.u.
1.0
2.838 0.000 0.000
0.000 3.519 0.000
0.000 0.000 5.234
Cd Ge H
1 1 1
direct
0.000 0.000 0.000
0.500 0.000 0.500
0.500 0.500 0.500

***

Calculated relative energies: (P) 0; (Q) 94, given in meV/atom

***

(P)
PBE CdGeH, optimized geometry; magnetic moment = 0.000 μB per atom; crystal system = orthorhombic; DOS at the Fermi energy = 0.5 states/eV/f.u.
1.0
-1.442 2.591 3.494
1.442 -2.591 3.494
1.442 2.591 -3.494
Cd Ge H
1 1 1
direct
0.000 0.000 0.000
0.536 0.536 0.000
0.302 0.302 0.000

***

(Q)
PBE CdGeH, optimized geometry; magnetic moment = 0.000 μB per atom; crystal system = monoclinic; DOS at the Fermi energy = 1.2 states/eV/f.u.
1.0
1.980 -1.979 0.000
1.980 1.979 0.000
-0.016 0.000 6.814
Cd Ge H
1 1 1
direct
0.000 0.000 0.000
0.996 0.996 0.447
0.997 0.997 0.688

***

Calculated relative energies: (P) 0; (Q) 67, given in meV/atom

***

(P)
PBE CdGe2H2, optimized geometry; magnetic moment = 0.000 μB per atom; crystal system = tetragonal; DOS at the Fermi energy = 1.4 states/eV/f.u.
1.0
-1.602 1.602 6.884
1.602 -1.602 6.884
1.602 1.602 -6.884
Cd Ge H
1 2 2
direct
0.000 0.000 0.000
0.346 0.346 0.000
0.654 0.654 0.000
0.250 0.750 0.500
0.750 0.250 0.500

***

(Q)
PBE CdGe2H2, optimized geometry; magnetic moment = 0.000 μB per atom; crystal system = tetragonal; DOS at the Fermi energy = 1.3 states/eV/f.u.
1.0
7.461 0.000 0.000
0.000 7.461 0.000
0.000 0.000 2.818
Cd Ge H
2 4 4
direct
0.000 0.000 0.000
0.500 0.500 0.000
0.122 0.378 0.000
0.378 0.878 0.000
0.622 0.122 0.000
0.878 0.622 0.000
0.097 0.597 0.500
0.403 0.097 0.500
0.597 0.903 0.500
0.903 0.403 0.500

***

Calculated relative energies: (P) 0; (Q) 111, given in meV/atom

***

(P)
PBE Cd2GeH, optimized geometry; magnetic moment = 0.000 μB per atom; crystal system = tetragonal; DOS at the Fermi energy = 1.4 states/eV/f.u.
1.0
-2.573 2.573 6.081
2.573 -2.573 6.081
2.573 2.573 -6.081
Cd Ge H
4 2 2
direct
0.021 0.625 0.896
0.375 0.271 0.396
0.729 0.125 0.104
0.875 0.979 0.604
0.250 0.750 0.500
0.500 0.500 0.000
0.000 0.000 0.000
0.750 0.250 0.500

***

(Q)
PBE Cd2GeH, optimized geometry; magnetic moment = 0.166 μB per atom; crystal system = cubic; DOS at the Fermi energy = 1.6 states/eV/f.u.
1.0
0.000 3.299 3.299
3.299 0.000 3.299
3.299 3.299 0.000
Cd Ge H
2 1 1
direct
0.250 0.250 0.250
0.750 0.750 0.750
0.000 0.000 0.000
0.500 0.500 0.500

***

Calculated relative energies: (P) 0; (Q) 140, given in meV/atom

***

(P)
PBE CdGeH3, optimized geometry; magnetic moment = 0.000 μB per atom; crystal system = cubic; DOS at the Fermi energy = 1.6 states/eV/f.u.
1.0
3.925 0.000 0.000
0.000 3.925 0.000
0.000 0.000 3.925
Cd Ge H
1 1 3
direct
0.000 0.000 0.000
0.500 0.500 0.500
0.000 0.000 0.500
0.000 0.500 0.000
0.500 0.000 0.000

***

(Q)
PBE CdGeH3, optimized geometry; magnetic moment = 0.000 μB per atom; crystal system = cubic; DOS at the Fermi energy = 0.9 states/eV/f.u.
1.0
3.876 0.000 0.000
0.000 3.876 0.000
0.000 0.000 3.876
Cd Ge H
1 1 3
direct
0.000 0.000 0.000
0.500 0.500 0.500
0.000 0.500 0.500
0.500 0.000 0.500
0.500 0.500 0.000

***

Calculated relative energies: (P) 237; (Q) 0, given in meV/atom

***

(P)
PBE Na2CdGeH, optimized geometry; magnetic moment = 0.000 μB per atom; crystal system = tetragonal; DOS at the Fermi energy = 2.9 states/eV/f.u.
1.0
4.425 0.000 0.000
0.000 4.425 0.000
0.000 0.000 4.738
Na Cd Ge H
2 1 1 1
direct
0.000 0.500 0.000
0.500 0.000 0.000
0.000 0.000 0.500
0.500 0.500 0.500
0.000 0.000 0.000

***

(Q)
PBE Na2CdGeH, optimized geometry; magnetic moment = 0.000 μB per atom; crystal system = tetragonal; DOS at the Fermi energy = 1.6 states/eV/f.u.
1.0
4.808 0.000 0.000
0.000 4.808 0.000
0.000 0.000 4.145
Na Cd Ge H
2 1 1 1
direct
0.000 0.500 0.000
0.500 0.000 0.000
0.000 0.000 0.500
0.500 0.500 0.500
0.500 0.500 0.000

***

Calculated relative energies: (P) 0; (Q) 22, given in meV/atom